The following is a DFT calculation (PBE) of a geometry-optimized NaSr4Tl5 structure.

The structure in CIF format:
```
data_NaSr4Tl5
_chemical_formula_sum 'Na1 Sr4 Tl5'
_symmetry_space_group_name_H-M 'P 1'
_symmetry_Int_Tables_number 1
_symmetry_space_group_name_Hall 'P 1'
_cell_length_a 4.0434
_cell_length_b 4.0434
_cell_length_c 20.3253
_cell_angle_alpha 90.00
_cell_angle_beta 90.00
_cell_angle_gamma 90.00
loop_
_atom_site_label
_atom_site_type_symbol
_atom_site_fract_x
_atom_site_fract_y
_atom_site_fract_z
Na1 Na 0.0000 0.0000 0.0000
Sr1 Sr 0.0000 0.0000 0.1918
Sr2 Sr 0.0000 0.0000 0.3970
Sr3 Sr 0.0000 0.0000 0.6030
Sr4 Sr 0.0000 0.0000 0.8082
Tl1 Tl 0.5000 0.5000 0.0868
Tl2 Tl 0.5000 0.5000 0.2953
Tl3 Tl 0.5000 0.5000 0.5000
Tl4 Tl 0.5000 0.5000 0.7047
Tl5 Tl 0.5000 0.5000 0.9132
```

Properties
Calculated density: 7.0 g cm⁻³
E: -2.3452 eV/atom
Total magnetic moment: 0.00 Bohr magnetons per cell

The following is a DFT calculation (PBE) of a geometry-optimized NaU2Cl8 structure.

The structure in CIF format:
```
data_NaU2Cl8
_chemical_formula_sum 'Na1 U2 Cl8'
_symmetry_space_group_name_H-M 'P 1'
_symmetry_Int_Tables_number 1
_symmetry_space_group_name_Hall 'P 1'
_cell_length_a 7.4941
_cell_length_b 7.4941
_cell_length_c 8.1020
_cell_angle_alpha 114.62
_cell_angle_beta 114.62
_cell_angle_gamma 60.30
loop_
_atom_site_label
_atom_site_type_symbol
_atom_site_fract_x
_atom_site_fract_y
_atom_site_fract_z
Na1 Na 0.0000 0.0000 0.0000
U1 U 0.1046 0.1046 0.5431
U2 U 0.8954 0.8954 0.4569
Cl1 Cl 0.1942 0.7299 0.2665
Cl2 Cl 0.2175 0.2175 0.3493
Cl3 Cl 0.2701 0.8058 0.7335
Cl4 Cl 0.3058 0.3058 0.8268
Cl5 Cl 0.6942 0.6942 0.1732
Cl6 Cl 0.7299 0.1942 0.2665
Cl7 Cl 0.7825 0.7825 0.6507
Cl8 Cl 0.8058 0.2701 0.7335
```

Properties
Calculated density: 3.8 g cm⁻³
E: -5.0917 eV/atom
Uncorrected formation energy: -1.576 eV per atom
Total magnetic moment: 1.07 Bohr magnetons per cell
ΔE to the lowest computed polymorph: 1.32 eV/f.u.

- The lowest total magnetic moment belongs to which entry?
  NaSr4Tl5